Entry 1:
This record from the Alexandria database describes a relaxed NdGa4Ni2 crystal. The functional is PBE.

Properties
As for the density of states at the Fermi level: 2.95 states/eV/f.u. Its formation energy is -535.4 meV/atom. Its space-group type is No. 62.

Lattice parameters (Å, degrees): 4.1004 6.7870 16.9841 90.00 90.00 90.00
Positions (direct):
Ni 0.7500 0.4520 0.7326
Ga 0.7500 0.7577 0.9639
Ga 0.7500 0.0068 0.0940
Ga 0.2500 0.2652 0.7022
Nd 0.2500 0.4827 0.8784
Ni 0.7500 0.3391 0.4640
Ga 0.7500 0.7348 0.2978
Ga 0.7500 0.4932 0.5940
Ni 0.2500 0.9520 0.7674
Ni 0.2500 0.8391 0.0360
Nd 0.7500 0.5173 0.1216
Ga 0.2500 0.8423 0.1859
Ga 0.2500 0.2423 0.0361
Ni 0.2500 0.5480 0.2674
Ga 0.7500 0.1577 0.8141
Ga 0.2500 0.2348 0.2022
Ga 0.2500 0.6577 0.6859
Nd 0.2500 0.0173 0.3784
Nd 0.7500 0.9827 0.6216
Ga 0.7500 0.7652 0.7978
Ga 0.2500 0.5068 0.4060
Ni 0.7500 0.1609 0.9640
Ga 0.2500 0.2577 0.5361
Ni 0.7500 0.0480 0.2326
Ga 0.2500 0.9932 0.9060
Ni 0.2500 0.6609 0.5360
Ga 0.7500 0.7423 0.4639
Ga 0.7500 0.3423 0.3141

***

Entry 2:
This record from the Alexandria database describes a relaxed Mn2AgW crystal. The functional is PBE.

Properties
As for the density of states at the Fermi level: 3.61 states/eV/f.u. Its formation energy is 486.6 meV/atom. Its space-group type is No. 119.

Lattice parameters (Å, degrees): 4.8899 4.8899 4.8899 134.61 134.61 66.13
Site moments in Bohr magnetons follow the coordinates.
Positions (direct):
Mn 0.2500 0.7500 0.5000  2.62
Ag 0.7500 0.2500 0.5000  -0.02
W 0.5000 0.5000 0.0000  -0.90
Mn 0.0000 0.0000 0.0000  2.59

***

Entry 3:
This record from the Alexandria database describes a relaxed Sr2DyHg4 crystal. The functional is PBE.

Properties
As for the density of states at the Fermi level: 6.37 states/eV/f.u. Its formation energy is -384.0 meV/atom. Its space-group type is No. 139.

Lattice parameters (Å, degrees): 5.5186 5.5186 8.1429 109.81 109.81 90.00
Positions (direct):
Sr 0.7334 0.7334 0.4668
Hg 0.6079 0.1079 0.2157
Sr 0.2666 0.2666 0.5332
Hg 0.1079 0.6079 0.2157
Dy 0.0000 0.0000 0.0000
Hg 0.3921 0.8921 0.7843
Hg 0.8921 0.3921 0.7843

***

Entry 4:
This record from the Alexandria database describes a relaxed PuTiS2 crystal. The functional is PBE.

Properties
The calculation puts the uncorrected formation energy at -1.0059 eV per atom. As for the density of states at the Fermi level: 9.93 states/eV/f.u. Its space-group type is No. 166.

Lattice parameters (Å, degrees): 3.4461 3.4461 8.6570 78.52 78.52 60.00
Site moments in Bohr magnetons follow the coordinates.
Positions (direct):
S 0.1095 0.1095 0.6714  -0.03
S 0.8905 0.8905 0.3286  -0.03
Pu 0.0000 0.0000 0.0000  5.74
Ti 0.5000 0.5000 0.5000  0.04

***

Entry 5:
This record from the Alexandria database describes a relaxed InCoHg2 crystal. The functional is PBE.

Properties
As for the density of states at the Fermi level: 2.49 states/eV/f.u. Its formation energy is 203.6 meV/atom. Its space-group type is No. 6.

Lattice parameters (Å, degrees): 2.9983 4.2119 7.2184 73.17 90.00 90.00
Positions (direct):
Hg 0.0000 0.8240 0.9760
Co 0.5000 0.9879 0.6492
Hg 0.5000 0.1814 0.2632
In 0.0000 0.5066 0.6116

***

Entry 6:
This record from the Alexandria database describes a relaxed NaHo2PuO6 crystal. The functional is PBE.

Properties
The calculation puts the uncorrected formation energy at -2.9981 eV per atom. As for the density of states at the Fermi level: 10.89 states/eV/f.u. Its space-group type is No. 146.

Lattice parameters (Å, degrees): 5.8096 5.8096 6.1048 61.59 61.59 60.00
Site moments in Bohr magnetons follow the coordinates.
Positions (direct):
O 0.1529 0.3817 0.7652  -0.06
Ho 0.0160 0.0160 0.9521  0.01
O 0.3817 0.7002 0.7652  -0.06
O 0.7002 0.1529 0.7653  -0.06
Pu 0.3188 0.3188 0.0436  3.36
O 0.6004 0.2353 0.2331  -0.06
Na 0.7981 0.7980 0.6058  0.00
O 0.9313 0.6004 0.2331  -0.06
O 0.2353 0.9313 0.2331  -0.06
Ho 0.5271 0.5271 0.4187  0.01